# 1
The following is a PBE-GGA calculation of an optimized crystal structure of NdErAgIr, from the Alexandria database.

Results
space group	F-43m, No. 216
electronic total energy	-5.78	eV per atom
formation energy from the elements	-0.52	eV per atom

Lattice parameters (Å, degrees): 5.038 5.038 5.038 60.00 60.00 60.00
Atoms (fractional coordinates):
Nd  0.000  0.000  0.000
Er  0.500  0.500  0.500
Ag  0.750  0.750  0.750
Ir  0.250  0.250  0.250

# 2
The following is a PBE-GGA calculation of an optimized crystal structure of UPaAs2Ru5, from the Alexandria database.

Results
space group	P4/mmm, No. 123
electronic total energy	-8.65	eV per atom
formation energy from the elements	-0.15	eV per atom

Lattice parameters (Å, degrees): 3.897 3.897 11.590 90.00 90.00 90.00
Atoms (fractional coordinates):
U  0.000  0.000  0.000
Pa  0.000  0.000  0.500
As  0.500  0.500  0.289
As  0.500  0.500  0.711
Ru  0.000  0.500  0.161
Ru  0.000  0.500  0.839
Ru  0.500  0.000  0.161
Ru  0.500  0.000  0.839
Ru  0.500  0.500  0.500

# 3
The following is a PBE-GGA calculation of an optimized crystal structure of TbPr5Bi6, from the Alexandria database.

Results
space group	C2/m, No. 12
electronic total energy	-5.26	eV per atom
formation energy from the elements	-0.94	eV per atom

Lattice parameters (Å, degrees): 7.999 7.999 8.000 99.61 99.61 120.01
Atoms (fractional coordinates):
Tb  0.000  0.000  0.000
Pr  0.169  0.831  0.500
Pr  0.334  0.666  0.000
Pr  0.500  0.500  0.500
Pr  0.666  0.334  0.000
Pr  0.831  0.169  0.500
Bi  0.082  0.410  0.246
Bi  0.245  0.245  0.752
Bi  0.410  0.082  0.246
Bi  0.590  0.918  0.754
Bi  0.755  0.755  0.248
Bi  0.918  0.590  0.754

# 4
The following is a PBE-GGA calculation of an optimized crystal structure of Al2TlPt, from the Alexandria database.

Results
space group	Cmmm, No. 65
electronic total energy	-3.97	eV per atom
distance to the lowest polymorph of the same formula	344	meV/atom
formation energy from the elements	0.00	eV per atom

Lattice parameters (Å, degrees): 4.653 4.653 3.624 90.00 90.00 108.55
Atoms (fractional coordinates):
Al  0.000  0.500  0.000
Al  0.500  0.000  0.000
Tl  0.000  0.000  0.500
Pt  0.500  0.500  0.500

# 5
The following is a PBE-GGA calculation of an optimized crystal structure of Nb4In, from the Alexandria database.

Results
space group	P2/c, No. 13
electronic total energy	-8.36	eV per atom
distance to the lowest polymorph of the same formula	47	meV/atom
formation energy from the elements	0.24	eV per atom

Lattice parameters (Å, degrees): 5.540 7.363 5.409 90.00 115.89 90.00
Atoms (fractional coordinates):
Nb  0.122  0.160  0.057
Nb  0.122  0.840  0.557
Nb  0.249  0.493  0.305
Nb  0.249  0.507  0.805
Nb  0.751  0.493  0.195
Nb  0.751  0.507  0.695
Nb  0.878  0.160  0.443
Nb  0.878  0.840  0.943
In  0.500  0.157  0.750
In  0.500  0.843  0.250

# 6
The following is a PBE-GGA calculation of an optimized crystal structure of Pm2ZrTe, from the Alexandria database.

Results
space group	P4/mmm, No. 123
electronic total energy	-5.67	eV per atom
energy relative to the elements, uncorrected	-0.3745	eV/atom

Lattice parameters (Å, degrees): 5.530 5.530 3.709 90.00 90.00 90.00
Atoms (fractional coordinates):
Pm  0.000  0.500  0.000
Pm  0.500  0.000  0.000
Zr  0.000  0.000  0.500
Te  0.500  0.500  0.500

# 7
The following is a PBE-GGA calculation of an optimized crystal structure of HfBiPb, from the Alexandria database.

Results
space group	P-1, No. 2
electronic total energy	-5.85	eV per atom
distance to the lowest polymorph of the same formula	0	meV/atom
formation energy from the elements	-0.01	eV per atom

Lattice parameters (Å, degrees): 3.296 6.464 8.469 98.91 99.94 97.94
Atoms (fractional coordinates):
Hf  0.011  0.256  0.001
Hf  0.989  0.744  0.999
Bi  0.365  0.937  0.732
Bi  0.635  0.063  0.268
Pb  0.343  0.427  0.698
Pb  0.657  0.573  0.302

# 8
The following is a PBE-GGA calculation of an optimized crystal structure of Mg4CuHg3, from the Alexandria database.

Results
space group	P4/mmm, No. 123
electronic total energy	-1.61	eV per atom
formation energy from the elements	-0.19	eV per atom

Lattice parameters (Å, degrees): 3.269 3.269 14.946 90.00 90.00 90.00
Atoms (fractional coordinates):
Mg  0.000  0.000  0.103
Mg  0.000  0.000  0.367
Mg  0.000  0.000  0.633
Mg  0.000  0.000  0.897
Cu  0.500  0.500  0.000
Hg  0.500  0.500  0.234
Hg  0.500  0.500  0.500
Hg  0.500  0.500  0.766

# 9
The following is a PBE-GGA calculation of an optimized crystal structure of CaMg2ZnCo, from the Alexandria database.

Results
space group	P4/mmm, No. 123
electronic total energy	-2.68	eV per atom
formation energy from the elements	0.03	eV per atom

Lattice parameters (Å, degrees): 4.806 4.806 4.739 90.00 90.00 90.00
Atoms (fractional coordinates):
Ca  0.000  0.000  0.000
Mg  0.000  0.500  0.500
Mg  0.500  0.000  0.500
Zn  0.500  0.500  0.000
Co  0.500  0.500  0.500

# 10
The following is a PBE-GGA calculation of an optimized crystal structure of CsPaHSe3, from the Alexandria database.

Results
space group	P2_1/m, No. 11
electronic total energy	-4.99	eV per atom

Lattice parameters (Å, degrees): 9.481 3.967 10.204 90.00 100.31 90.00
Atoms (fractional coordinates):
Cs  0.162  0.250  0.277
Cs  0.838  0.750  0.723
Pa  0.333  0.750  0.859
Pa  0.667  0.250  0.141
H  0.248  0.250  0.610
H  0.752  0.750  0.390
Se  0.143  0.250  0.909
Se  0.239  0.750  0.587
Se  0.449  0.750  0.144
Se  0.551  0.250  0.856
Se  0.761  0.250  0.413
Se  0.857  0.750  0.091

# 11
The following is a PBE-GGA calculation of an optimized crystal structure of RbTeI2O8, from the Alexandria database.

Results
space group	C2/m, No. 12
electronic total energy	-4.51	eV per atom
energy relative to the elements, uncorrected	-0.6064	eV/atom

Lattice parameters (Å, degrees): 6.529 6.529 6.700 108.62 108.62 52.88
Atoms (fractional coordinates):
Rb  0.000  0.000  0.000
Te  0.500  0.500  0.500
I  0.224  0.224  0.684
I  0.776  0.776  0.316
O  0.134  0.634  0.294
O  0.177  0.177  0.399
O  0.366  0.866  0.706
O  0.406  0.406  0.704
O  0.594  0.594  0.296
O  0.634  0.134  0.294
O  0.823  0.823  0.601
O  0.866  0.366  0.706

# 12
The following is a PBE-GGA calculation of an optimized crystal structure of La3Tm2Th, from the Alexandria database.

Results
space group	Fmmm, No. 69
electronic total energy	-5.02	eV per atom
formation energy from the elements	0.17	eV per atom

Lattice parameters (Å, degrees): 17.037 17.035 4.957 81.65 81.61 16.73
Atoms (fractional coordinates):
La  0.169  0.169  0.831
La  0.188  0.649  0.351
La  0.351  0.812  0.188
La  0.649  0.188  0.812
La  0.812  0.351  0.649
La  0.831  0.831  0.169
Tm  0.250  0.250  0.250
Tm  0.252  0.748  0.748
Tm  0.748  0.252  0.252
Tm  0.750  0.750  0.750
Th  0.326  0.326  0.674
Th  0.674  0.674  0.326

Number 1: N(E_F) 2.93 states/eV per cell, total moment 0.00 μB/f.u.. Number 2: N(E_F) 10.30 states/eV per cell, total moment 0.00 μB/f.u.. Number 3: N(E_F) 1.98 states/eV per cell, total moment 0.00 μB/f.u.. Number 4: N(E_F) 1.77 states/eV per cell, total moment 0.00 μB/f.u.. Number 5: N(E_F) 8.41 states/eV per cell, total moment 0.00 μB/f.u.. Number 6: N(E_F) 5.45 states/eV per cell, total moment 0.00 μB/f.u.. Number 7: N(E_F) 4.39 states/eV per cell, total moment 0.00 μB/f.u.. Number 8: N(E_F) 1.79 states/eV per cell, total moment 0.00 μB/f.u.. Number 9: N(E_F) 2.26 states/eV per cell, total moment 0.00 μB/f.u.. Number 10: N(E_F) 8.39 states/eV per cell, total moment 0.73 μB/f.u.. Number 11: N(E_F) 1.89 states/eV per cell, total moment 0.00 μB/f.u.. Number 12: N(E_F) 21.04 states/eV per cell, total moment 0.00 μB/f.u..